(1)
A crystal of AlSN2 relaxed with PBEsol. Source: the Alexandria database, functional SCAN.

Cell: 2.784 2.784 6.266 Å, 77.17 77.17 60.00°
Fractional positions:
N (0.890, 0.890, 0.331)
N (0.110, 0.110, 0.669)
S (0.500, 0.500, 0.500)
Al (0.000, 0.000, 0.000)

Summary:
Symmetry: R-3m
Magnetization, μB per atom: 0.00
Formation energy without anion corrections, eV/atom: 0.837

(2)
A crystal of Mg2NiBiO relaxed with PBEsol. Source: the Alexandria database, functional SCAN.

Cell: 4.669 5.359 5.359 Å, 90.00 90.00 90.00°
Site moments in Bohr magnetons follow the coordinates.
Fractional positions:
O (0.500, 0.500, 0.500)  0.49
Mg (0.000, 0.500, 0.000)  -0.01
Mg (0.000, 0.000, 0.500)  -0.01
Bi (0.000, 0.000, 0.000)  -0.01
Ni (0.500, 0.000, 0.000)  0.72

Summary:
Symmetry: P4/mmm
Magnetization, μB per atom: 0.20
Formation energy without anion corrections, eV/atom: 0.769

(3)
A crystal of ScBe3Ru relaxed with PBEsol. Source: the Alexandria database, functional SCAN.

Cell: 4.127 4.127 4.127 Å, 90.00 90.00 90.00°
Fractional positions:
Be (0.000, 0.500, 0.000)
Be (0.500, 0.000, 0.000)
Be (0.000, 0.000, 0.500)
Ru (0.000, 0.000, 0.000)
Sc (0.500, 0.500, 0.500)

Summary:
Symmetry: Pm-3m
Magnetization, μB per atom: 0.00
Energy of formation from the pure elements, eV/f.u.: -0.23

(4)
A crystal of PtCl3 relaxed with PBEsol. Source: the Alexandria database, functional SCAN.

Cell: 2.957 4.801 4.801 Å, 90.00 90.00 90.00°
Fractional positions:
Cl (0.500, 0.000, 0.500)
Cl (0.500, 0.500, 0.000)
Cl (0.000, 0.500, 0.500)
Pt (0.000, 0.000, 0.000)

Summary:
Symmetry: P4/mmm
Magnetization, μB per atom: 0.00
Formation energy without anion corrections, eV/atom: 0.929

(5)
A crystal of CsPt2Pb2 relaxed with PBEsol. Source: the Alexandria database, functional SCAN.

Cell: 4.868 4.868 6.569 Å, 111.75 111.75 90.00°
Fractional positions:
Pb (0.750, 0.250, 0.500)
Pb (0.250, 0.750, 0.500)
Cs (0.000, 0.000, 0.000)
Pt (0.619, 0.619, 0.239)
Pt (0.381, 0.381, 0.761)

Summary:
Symmetry: I4/mmm
Magnetization, μB per atom: 0.00
Energy of formation from the pure elements, eV/f.u.: -0.85

(6)
A crystal of LaSb2Rh relaxed with PBEsol. Source: the Alexandria database, functional SCAN.

Cell: 3.469 4.118 7.337 Å, 106.30 103.68 90.00°
Fractional positions:
Rh (0.286, 0.786, 0.573)
Sb (0.930, 0.930, 0.861)
Sb (0.730, 0.230, 0.460)
La (0.553, 0.553, 0.106)

Summary:
Symmetry: Imm2
Magnetization, μB per atom: 0.00
Formation energy without anion corrections, eV/atom: -0.640

(7)
A crystal of Sc3TcCl relaxed with PBEsol. Source: the Alexandria database, functional SCAN.

Cell: 4.612 4.612 4.612 Å, 90.00 90.00 90.00°
Fractional positions:
Sc (0.000, 0.000, 0.500)
Sc (0.500, 0.000, 0.000)
Sc (0.000, 0.500, 0.000)
Cl (0.000, 0.000, 0.000)
Tc (0.500, 0.500, 0.500)

Summary:
Symmetry: Pm-3m
Magnetization, μB per atom: 0.00
Formation energy without anion corrections, eV/atom: -0.052

(8)
A crystal of NbPWS2 relaxed with PBEsol. Source: the Alexandria database, functional SCAN.

Cell: 4.545 4.545 4.733 Å, 90.00 90.00 90.00°
Site moments in Bohr magnetons follow the coordinates.
Fractional positions:
W (0.000, 0.000, 0.000)  0.43
S (0.000, 0.500, 0.000)  -0.12
S (0.500, 0.000, 0.000)  -0.12
P (0.000, 0.000, 0.500)  -0.18
Nb (0.500, 0.500, 0.500)  2.37

Summary:
E above lowest polymorph, eV/f.u.: 0.000
Symmetry: P4/mmm
Magnetization, μB per atom: 0.59
Formation energy without anion corrections, eV/atom: 0.589

Which formula does entry 4 have? PtCl3